DFT (PBE) results for a relaxed structure of LiH3I.

The relative energy among the computed polymorphs is 97 meV per atom.

The structure belongs to space group Pm-3m (No. 221); the cell edges are 4.457, 4.457 and 4.457 Å and the angles 90.00°, 90.00° and 90.00°. The distinct sites, in fractional coordinates, are Li at (0.000, 0.000, 0.000), H at (0.000, 0.500, 0.500) and I at (0.500, 0.500, 0.500).

=====

DFT (PBE) results for a relaxed structure of Li4HI2.

The relative energy among the computed polymorphs is 31 meV per atom.

The structure belongs to space group I4/mmm (No. 139); the cell edges are 4.424, 4.424 and 15.035 Å and the angles 90.00°, 90.00° and 90.00°. The distinct sites, in fractional coordinates, are Li at (0.000, 0.000, 0.148), Li at (0.000, 0.500, 0.000), H at (0.000, 0.000, 0.000) and I at (0.000, 0.000, 0.360).

=====

DFT (PBE) results for a relaxed structure of LiH3I.

The relative energy among the computed polymorphs is 0 meV per atom.

The structure belongs to space group Pm-3m (No. 221); the cell edges are 3.729, 3.729 and 3.729 Å and the angles 90.00°, 90.00° and 90.00°. The distinct sites, in fractional coordinates, are Li at (0.000, 0.000, 0.000), H at (0.000, 0.000, 0.500) and I at (0.500, 0.500, 0.500).

=====

DFT (PBE) results for a relaxed structure of LiHI.

The relative energy among the computed polymorphs is 0 meV per atom.

The structure belongs to space group C2/m (No. 12); the cell edges are 8.002, 4.653 and 9.135 Å and the angles 90.00°, 91.96° and 90.00°. The distinct sites, in fractional coordinates, are Li at (0.164, 0.000, 0.383), H at (0.039, 0.500, 0.024) and I at (0.174, 0.000, 0.692).